1.
SmCdGa4 | PBE | relaxed

The structure in extended XYZ format:
```
6
Lattice="0.0000 3.9603 3.9603 3.9603 0.0000 3.9603 3.9603 3.9603 0.0000" Properties=species:S:1:pos:R:3 pbc="T T T"
Sm 0.0000 0.0000 0.0000
Cd 5.9405 5.9405 5.9405
Ga 2.9677 2.9677 2.9677
Ga 4.9530 4.9530 2.9677
Ga 4.9530 2.9677 4.9530
Ga 2.9677 4.9530 4.9530
```

Results
Uncorrected energy: -3.175 eV/atom
Symmetry: F-43m
Mass density: 7.2 Mg/m³

2.
Sm4Cd2Ga | PBE | relaxed

The structure in extended XYZ format:
```
7
Lattice="2.6353 1.5215 8.5083 -2.6353 1.5215 8.5083 0.0000 -3.0430 8.5083" Properties=species:S:1:pos:R:3 pbc="T T T"
Sm 0.0000 0.0000 3.1320
Sm 0.0000 0.0000 9.5583
Sm 0.0000 0.0000 15.9668
Sm 0.0000 0.0000 22.3930
Cd 0.0000 0.0000 6.3482
Cd 0.0000 0.0000 19.1768
Ga 0.0000 0.0000 12.7625
```

Results
Uncorrected energy: -3.605 eV/atom
Symmetry: R-3m
Mass density: 7.3 Mg/m³

3.
Sm4Cd5Ga2 | PBE | relaxed

The structure in extended XYZ format:
```
11
Lattice="7.7091 0.0000 0.0000 0.0000 3.8447 0.0000 -0.5985 0.0000 9.5881" Properties=species:S:1:pos:R:3 pbc="T T T"
Sm 1.1285 0.0000 3.4850
Sm 1.3844 0.0000 8.9670
Sm 5.7262 0.0000 0.6211
Sm 5.9821 0.0000 6.1031
Cd 0.9821 1.9223 6.2258
Cd 3.2966 1.9223 1.8053
Cd 3.5553 1.9223 4.7940
Cd 3.8140 1.9223 7.7828
Cd 6.1285 1.9223 3.3623
Ga 0.3815 1.9223 1.2363
Ga 6.7292 1.9223 8.3518
```

Results
Uncorrected energy: -3.045 eV/atom
Symmetry: P2/m
Mass density: 7.6 Mg/m³

4.
Sm3Cd2Ga | PBE | relaxed

The structure in extended XYZ format:
```
6
Lattice="3.7128 0.0000 0.0000 0.0000 3.7128 0.0000 0.0000 0.0000 11.5455" Properties=species:S:1:pos:R:3 pbc="T T T"
Sm 0.0000 0.0000 0.0000
Sm 0.0000 0.0000 4.0091
Sm 0.0000 0.0000 7.5364
Cd 1.8564 1.8564 1.9730
Cd 1.8564 1.8564 9.5725
Ga 1.8564 1.8564 5.7728
```

Results
Uncorrected energy: -3.568 eV/atom
Symmetry: P4/mmm
Relative energy among the computed polymorphs: 0.000 eV/f.u.
Mass density: 7.8 Mg/m³

5.
Sm4CdGa2 | PBE | relaxed

The structure in extended XYZ format:
```
7
Lattice="2.5911 1.4960 8.2904 -2.5911 1.4960 8.2904 0.0000 -2.9919 8.2904" Properties=species:S:1:pos:R:3 pbc="T T T"
Sm 0.0000 0.0000 2.8902
Sm 0.0000 0.0000 9.1726
Sm 0.0000 0.0000 15.6986
Sm 0.0000 0.0000 21.9810
Cd 0.0000 0.0000 12.4356
Ga 0.0000 0.0000 6.1219
Ga 0.0000 0.0000 18.7494
```

Results
Uncorrected energy: -4.062 eV/atom
Symmetry: R-3m
Relative energy among the computed polymorphs: 0.000 eV/f.u.
Mass density: 7.3 Mg/m³

6.
Sm7Cd2Ga2 | PBE | relaxed

The structure in extended XYZ format:
```
11
Lattice="3.7885 -5.3635 0.0000 3.7885 5.3635 0.0000 0.0000 0.0000 8.2689" Properties=species:S:1:pos:R:3 pbc="T T T"
Sm 0.0000 0.0000 0.0000
Sm 1.8943 2.6818 2.4578
Sm 1.8943 2.6818 5.8111
Sm 1.8943 -2.6818 2.4578
Sm 1.8943 -2.6818 5.8111
Sm 3.7885 0.0000 2.3799
Sm 3.7885 0.0000 5.8890
Cd 3.7885 2.0925 0.0000
Cd 3.7885 -2.0925 0.0000
Ga 1.2640 0.0000 4.1344
Ga 6.3130 0.0000 4.1344
```

Results
Uncorrected energy: -3.754 eV/atom
Symmetry: Cmmm
Mass density: 7.0 Mg/m³

7.
Sm5Cd2Ga | PBE | relaxed

The structure in extended XYZ format:
```
16
Lattice="-3.8797 3.8797 7.7866 3.8797 -3.8797 7.7866 3.8797 3.8797 -7.7866" Properties=species:S:1:pos:R:3 pbc="T T T"
Sm 0.0000 0.0000 0.0000
Sm 5.1748 1.2950 -2.4596
Sm 1.2950 2.5847 -2.4596
Sm 5.1748 1.2950 2.4596
Sm 1.2950 2.5847 2.4596
Sm 0.0000 0.0000 7.7866
Sm 2.5847 1.2950 5.3270
Sm -1.2950 2.5847 5.3270
Sm 2.5847 1.2950 10.2462
Sm -1.2950 2.5847 10.2462
Cd 2.8912 0.9886 0.0000
Cd 2.8912 -0.9886 7.7866
Cd 0.9886 4.8683 0.0000
Cd 0.9886 2.8912 7.7866
Ga 0.0000 0.0000 3.8933
Ga 0.0000 0.0000 11.6799
```

Results
Uncorrected energy: -3.794 eV/atom
Symmetry: I4/mcm
Mass density: 7.4 Mg/m³

8.
Sm4Cd3Ga | PBE | relaxed

The structure in extended XYZ format:
```
8
Lattice="3.7320 0.0000 0.0000 0.0000 3.7320 0.0000 0.0000 0.0000 15.4274" Properties=species:S:1:pos:R:3 pbc="T T T"
Sm 0.0000 0.0000 1.7525
Sm 0.0000 0.0000 5.7291
Sm 0.0000 0.0000 9.6983
Sm 0.0000 0.0000 13.6748
Cd 1.8660 1.8660 3.7696
Cd 1.8660 1.8660 7.7137
Cd 1.8660 1.8660 11.6577
Ga 1.8660 1.8660 0.0000
```

Results
Uncorrected energy: -3.459 eV/atom
Symmetry: P4/mmm
Mass density: 7.8 Mg/m³

9.
SmCd4Ga2 | PBE | relaxed

The structure in extended XYZ format:
```
7
Lattice="2.2095 -7.9772 0.0000 2.2095 7.9772 0.0000 0.0000 0.0000 4.3650" Properties=species:S:1:pos:R:3 pbc="T T T"
Sm 0.0000 0.0000 0.0000
Cd 2.2095 5.1544 2.1825
Cd 2.2095 2.9047 0.0000
Cd 2.2095 -2.9047 0.0000
Cd 2.2095 -5.1544 2.1825
Ga 2.2095 1.2068 2.1825
Ga 2.2095 -1.2068 2.1825
```

Results
Uncorrected energy: -2.312 eV/atom
Symmetry: Cmmm
Mass density: 8.0 Mg/m³

10.
Sm3CdGa3 | PBE | relaxed

The structure in extended XYZ format:
```
14
Lattice="5.6279 -2.2561 0.0000 5.6279 2.2561 0.0000 -5.0224 0.0000 13.6338" Properties=species:S:1:pos:R:3 pbc="T T T"
Sm -1.6417 0.0000 5.0928
Sm -3.4517 0.0000 12.5913
Sm 1.5487 0.0000 2.9934
Sm 4.6845 0.0000 10.6404
Sm 9.6849 0.0000 1.0425
Sm 7.8750 0.0000 8.5410
Cd -0.0706 0.0000 8.1540
Cd 6.3039 0.0000 5.4798
Ga 2.0389 0.0000 6.1193
Ga -0.2438 0.0000 12.6305
Ga 1.4396 0.0000 10.5475
Ga 4.7936 0.0000 3.0863
Ga 6.4770 0.0000 1.0033
Ga 4.1944 0.0000 7.5145
```

Results
Uncorrected energy: -4.002 eV/atom
Symmetry: C2/m
Mass density: 7.4 Mg/m³

11.
Sm3Cd2Ga4 | PBE | relaxed

The structure in extended XYZ format:
```
9
Lattice="5.4904 -2.2894 0.0000 5.4904 2.2894 0.0000 -3.0655 0.0000 8.2967" Properties=species:S:1:pos:R:3 pbc="T T T"
Sm 0.0000 0.0000 0.0000
Sm 2.5940 0.0000 2.7667
Sm 5.3214 0.0000 5.5300
Cd 2.1267 0.0000 6.0482
Cd 5.7887 0.0000 2.2485
Ga -0.4896 0.0000 3.4409
Ga 0.2969 0.0000 8.0824
Ga 7.6185 0.0000 0.2143
Ga 8.4050 0.0000 4.8558
```

Results
Uncorrected energy: -3.655 eV/atom
Symmetry: C2/m
Mass density: 7.6 Mg/m³

12.
SmCdGa2 | PBE | relaxed

The structure in extended XYZ format:
```
4
Lattice="4.4984 0.0000 0.0000 0.0000 4.4984 0.0000 0.0000 0.0000 4.3092" Properties=species:S:1:pos:R:3 pbc="T T T"
Sm 0.0000 0.0000 0.0000
Cd 2.2492 2.2492 0.0000
Ga 0.0000 2.2492 2.1546
Ga 2.2492 0.0000 2.1546
```

Results
Uncorrected energy: -3.354 eV/atom
Symmetry: P4/mmm
Relative energy among the computed polymorphs: 0.106 eV/f.u.
Mass density: 7.7 Mg/m³

13.
Sm4CdGa2 | PBE | relaxed

The structure in extended XYZ format:
```
7
Lattice="2.5810 1.4901 8.8869 -2.5810 1.4901 8.8869 0.0000 -2.9802 8.8869" Properties=species:S:1:pos:R:3 pbc="T T T"
Sm 0.0000 0.0000 3.1860
Sm 0.0000 0.0000 7.7501
Sm 0.0000 0.0000 18.9105
Sm 0.0000 0.0000 23.4745
Cd 0.0000 0.0000 13.3303
Ga 0.0000 0.0000 10.7134
Ga 0.0000 0.0000 15.9472
```

Results
Uncorrected energy: -3.930 eV/atom
Symmetry: R-3m
Relative energy among the computed polymorphs: 0.925 eV/f.u.
Mass density: 6.9 Mg/m³

14.
Sm2Cd2Ga | PBE | relaxed

The structure in extended XYZ format:
```
5
Lattice="5.6695 -1.9637 0.0000 5.6695 1.9637 0.0000 -0.6549 0.0000 6.2038" Properties=species:S:1:pos:R:3 pbc="T T T"
Sm 2.0091 0.0000 1.3627
Sm 8.6751 0.0000 4.8411
Cd 0.4996 0.0000 4.2967
Cd 10.1846 0.0000 1.9072
Ga 5.6695 0.0000 0.0000
```

Results
Uncorrected energy: -3.058 eV/atom
Symmetry: C2/m
Mass density: 7.2 Mg/m³

15.
Sm8CdGa2 | PBE | relaxed

The structure in extended XYZ format:
```
11
Lattice="8.7209 -2.4694 0.0000 8.7209 2.4694 0.0000 -2.6220 0.0000 7.4589" Properties=species:S:1:pos:R:3 pbc="T T T"
Sm 0.1371 0.0000 1.8033
Sm 1.0915 0.0000 5.7365
Sm 4.2131 0.0000 4.1298
Sm 6.9186 0.0000 0.2979
Sm 7.9011 0.0000 7.1610
Sm 10.6067 0.0000 3.3290
Sm 13.7283 0.0000 1.7223
Sm 14.6826 0.0000 5.6555
Cd 7.4099 0.0000 3.7294
Ga 3.1694 0.0000 1.3024
Ga 11.6503 0.0000 6.1565
```

Results
Uncorrected energy: -4.298 eV/atom
Symmetry: C2/m
Mass density: 7.5 Mg/m³

16.
Sm2CdGa12 | PBE | relaxed

The structure in extended XYZ format:
```
30
Lattice="5.9111 0.0000 0.0000 0.0000 5.9111 0.0000 0.0000 0.0000 17.5668" Properties=species:S:1:pos:R:3 pbc="T T T"
Sm 1.4778 4.4333 3.8502
Sm 1.4778 4.4333 13.7166
Sm 4.4333 1.4778 3.8502
Sm 4.4333 1.4778 13.7166
Cd 1.4778 4.4333 8.7834
Cd 4.4333 1.4778 8.7834
Ga 0.0141 2.9697 6.7527
Ga 0.0141 5.8970 10.8141
Ga 0.3954 3.3510 16.4229
Ga 0.3954 5.5157 1.1438
Ga 1.4778 1.4778 2.6230
Ga 1.4778 1.4778 5.1109
Ga 1.4778 1.4778 12.4559
Ga 1.4778 1.4778 14.9438
Ga 2.5601 3.3510 1.1438
Ga 2.5601 5.5157 16.4229
Ga 2.9414 2.9697 10.8141
Ga 2.9414 5.8970 6.7527
Ga 2.9697 0.0141 10.8141
Ga 2.9697 2.9414 6.7527
Ga 3.3510 0.3954 1.1438
Ga 3.3510 2.5601 16.4229
Ga 4.4333 4.4333 2.6230
Ga 4.4333 4.4333 5.1109
Ga 4.4333 4.4333 12.4559
Ga 4.4333 4.4333 14.9438
Ga 5.5157 0.3954 16.4229
Ga 5.5157 2.5601 1.1438
Ga 5.8970 0.0141 6.7527
Ga 5.8970 2.9414 10.8141
```

Results
Uncorrected energy: -3.375 eV/atom
Symmetry: P4/nbm
Mass density: 6.8 Mg/m³

17.
SmCdGa2 | PBE | relaxed

The structure in extended XYZ format:
```
16
Lattice="7.0978 0.0000 0.0000 0.0000 4.4014 0.0000 0.0000 0.0000 11.3747" Properties=species:S:1:pos:R:3 pbc="T T T"
Sm 1.1041 1.1003 1.6686
Sm 2.4448 3.3010 7.3559
Sm 4.6530 1.1003 4.0188
Sm 5.9937 3.3010 9.7062
Cd 1.1557 1.1003 5.0651
Cd 2.3932 3.3010 10.7525
Cd 4.7046 1.1003 0.6223
Cd 5.9421 3.3010 6.3096
Ga 0.1232 1.1003 7.5839
Ga 1.0582 1.1003 9.8666
Ga 2.4907 3.3010 4.1792
Ga 3.4257 3.3010 1.8965
Ga 3.6721 1.1003 9.4782
Ga 4.6071 1.1003 7.1955
Ga 6.0396 3.3010 1.5081
Ga 6.9746 3.3010 3.7908
```

Results
Uncorrected energy: -3.380 eV/atom
Symmetry: Pnma
Relative energy among the computed polymorphs: 0.000 eV/f.u.
Mass density: 7.5 Mg/m³

18.
Sm3Cd2Ga | PBE | relaxed

The structure in extended XYZ format:
```
6
Lattice="5.3196 0.0000 0.0000 -2.6598 4.6069 0.0000 0.0000 0.0000 6.5224" Properties=species:S:1:pos:R:3 pbc="T T T"
Sm 0.0000 0.0000 0.0000
Sm 0.0000 3.0713 4.2568
Sm 2.6598 1.5356 2.2657
Cd 0.0000 3.0713 0.9789
Cd 2.6598 1.5356 5.5435
Ga 0.0000 0.0000 3.2612
```

Results
Uncorrected energy: -3.556 eV/atom
Symmetry: P-3m1
Relative energy among the computed polymorphs: 0.071 eV/f.u.
Mass density: 7.7 Mg/m³

19.
Sm5CdGa2 | PBE | relaxed

The structure in extended XYZ format:
```
16
Lattice="-3.8716 3.8716 7.6002 3.8716 -3.8716 7.6002 3.8716 3.8716 -7.6002" Properties=species:S:1:pos:R:3 pbc="T T T"
Sm 0.0000 0.0000 0.0000
Sm 5.1974 1.3258 -2.1936
Sm 1.3258 2.5459 -2.1936
Sm 5.1974 1.3258 2.1936
Sm 1.3258 2.5459 2.1936
Sm 0.0000 0.0000 7.6002
Sm 2.5459 1.3258 5.4066
Sm -1.3258 2.5459 5.4066
Sm 2.5459 1.3258 9.7938
Sm -1.3258 2.5459 9.7938
Cd 0.0000 0.0000 3.8001
Cd 0.0000 0.0000 11.4003
Ga 2.9480 0.9236 0.0000
Ga 2.9480 -0.9236 7.6002
Ga 0.9236 4.7953 0.0000
Ga 0.9236 2.9480 7.6002
```

Results
Uncorrected energy: -4.192 eV/atom
Symmetry: I4/mcm
Mass density: 7.3 Mg/m³

20.
SmCd2Ga2 | PBE | relaxed

The structure in extended XYZ format:
```
10
Lattice="-2.1604 2.1621 11.7317 2.1604 -2.1621 11.7317 2.1604 2.1621 -11.7317" Properties=species:S:1:pos:R:3 pbc="T T T"
Sm 0.0000 1.0811 1.8326
Sm 2.1604 1.0811 9.8991
Cd 2.1604 -1.0811 7.0280
Cd 2.1604 1.0811 4.7459
Cd 0.0000 1.0811 6.9858
Cd 0.0000 3.2432 4.7037
Ga 2.1604 1.0811 -3.0110
Ga 2.1604 1.0811 -0.5822
Ga 0.0000 1.0811 12.3139
Ga 0.0000 1.0811 14.7427
```

Results
Uncorrected energy: -2.902 eV/atom
Symmetry: Imma
Mass density: 7.8 Mg/m³

21.
SmCdGa2 | PBE | relaxed

The structure in extended XYZ format:
```
4
Lattice="0.0000 3.5294 3.5294 3.5294 0.0000 3.5294 3.5294 3.5294 0.0000" Properties=species:S:1:pos:R:3 pbc="T T T"
Sm 0.0000 0.0000 0.0000
Cd 3.5294 3.5294 3.5294
Ga 1.7647 1.7647 1.7647
Ga 5.2940 5.2940 5.2940
```

Results
Uncorrected energy: -3.226 eV/atom
Symmetry: Fm-3m
Relative energy among the computed polymorphs: 0.618 eV/f.u.
Mass density: 7.6 Mg/m³

22.
Sm12Cd6Ga | PBE | relaxed

The structure in extended XYZ format:
```
19
Lattice="5.7423 3.3153 4.8107 -5.7423 3.3153 4.8107 0.0000 -6.6306 4.8107" Properties=species:S:1:pos:R:3 pbc="T T T"
Sm -1.5716 -5.1615 6.1672
Sm -5.2558 -1.2198 8.2649
Sm -1.2494 -1.5639 4.6977
Sm -3.6842 3.9418 6.1672
Sm -0.7297 1.8640 4.6977
Sm 1.9791 -0.3001 4.6977
Sm -1.9791 0.3001 9.7344
Sm 0.7297 -1.8640 9.7344
Sm 3.6842 -3.9418 8.2649
Sm 1.2494 1.5639 9.7344
Sm 5.2558 1.2198 6.1672
Sm 1.5716 5.1615 8.2649
Cd -3.0388 0.7218 6.6655
Cd -2.1445 -2.2708 7.7667
Cd 0.8943 -2.9926 6.6655
Cd -0.8943 2.9926 7.7667
Cd 2.1445 2.2708 6.6655
Cd 3.0388 -0.7218 7.7667
Ga 0.0000 0.0000 7.2161
```

Results
Uncorrected energy: -3.568 eV/atom
Symmetry: R-3
Mass density: 7.7 Mg/m³

| no. | total moment (μB per cell) | energy of formation (kcal/mol of atoms) |
| --- | --- | --- |
| 1 | 0.00 | -5.0 |
| 2 | 0.05 | -4.9 |
| 3 | 0.00 | -8.4 |
| 4 | 0.39 | -9.2 |
| 5 | 0.00 | -8.5 |
| 6 | 0.00 | -0.8 |
| 7 | 0.00 | -5.5 |
| 8 | 0.66 | -8.7 |
| 9 | 0.00 | -5.8 |
| 10 | 0.78 | -12.7 |
| 11 | 0.00 | -12.3 |
| 12 | 0.00 | -10.0 |
| 13 | 0.00 | -5.5 |
| 14 | 0.00 | -4.6 |
| 15 | 0.00 | -5.4 |
| 16 | 0.00 | -6.1 |
| 17 | 0.00 | -10.6 |
| 18 | 0.00 | -8.9 |
| 19 | 0.00 | -8.6 |
| 20 | 0.00 | -8.8 |
| 21 | 0.00 | -7.0 |
| 22 | 0.00 | -3.2 |